Material: MnCoRhF2
Method: DFT, GGA+U
State: relaxed

Unit cell a=3.675 b=3.675 c=6.307 alpha=90.00 beta=90.00 gamma=90.00
Positions (direct):
Mn1 0.000 0.000 0.000
Co1 0.000 0.000 0.500
Rh1 0.500 0.500 0.500
F1 0.000 0.500 0.000
F2 0.500 0.000 0.000

Results
Uncorrected energy = -0.339 Ry per atom
Symmetry = P4/mmm